DFT (GGA-PBEsol) results for a geometry-optimized Sr2TiSi2O8 structure.

a = 8.4114 Å, b = 8.4114 Å, c = 5.0022 Å
α = 90.00°, β = 90.00°, γ = 90.00°
Fractional positions:
1 Sr 0.1727 0.3273 0.0000
2 Sr 0.3273 0.8273 0.0000
3 Sr 0.6727 0.1727 0.0000
4 Sr 0.8273 0.6727 0.0000
5 Ti 0.0000 0.0000 0.5609
6 Ti 0.5000 0.5000 0.5609
7 Si 0.1298 0.6298 0.5324
8 Si 0.3702 0.1298 0.5324
9 Si 0.6298 0.8702 0.5324
10 Si 0.8702 0.3702 0.5324
11 O 0.0000 0.0000 0.2213
12 O 0.0000 0.5000 0.6593
13 O 0.0803 0.7949 0.6803
14 O 0.1282 0.6282 0.2127
15 O 0.2051 0.0803 0.6803
16 O 0.2949 0.5803 0.6803
17 O 0.3718 0.1282 0.2127
18 O 0.4197 0.2949 0.6803
19 O 0.5000 0.0000 0.6593
20 O 0.5000 0.5000 0.2213
21 O 0.5803 0.7051 0.6803
22 O 0.6282 0.8718 0.2127
23 O 0.7051 0.4197 0.6803
24 O 0.7949 0.9197 0.6803
25 O 0.8718 0.3718 0.2127
26 O 0.9197 0.2051 0.6803

Results
- formation energy (no corrections) (eV/atom) = -3.01
- symmetry = P4bm (100)
- electronic total energy (eV/atom) = -8.052
- volume (Å³/cell) = 353.9
- spin magnetization (Bohr magnetons per cell) = 0.00